# HoBeAlPt2 (PBE, relaxed)
data_HoBeAlPt2
_chemical_formula_sum 'Ho2 Be2 Al2 Pt4'
_symmetry_space_group_name_H-M 'I -4 m 2'
_symmetry_Int_Tables_number 119
_symmetry_space_group_name_Hall 'I -4 -2'
_cell_length_a 3.810
_cell_length_b 3.810
_cell_length_c 11.840
_cell_angle_alpha 90.00
_cell_angle_beta 90.00
_cell_angle_gamma 90.00
loop_
_atom_site_label
_atom_site_fract_x
_atom_site_fract_y
_atom_site_fract_z
Ho1 0.000 0.000 0.000
Be1 0.000 0.500 0.750
Al1 0.000 0.500 0.250
Pt1 0.000 0.000 0.382
# size of the total moment: 0.00 μB per cell
# ΔE_f: -981.5 meV per atom